VASP calculation (GGA+U) on a relaxed structure of CrRhIO2.

Values from the calculation:
Calculated volume, Å³/f.u.: 111.4
Total DFT energy (no corrections), eV/atom: -5.40
Calculated density, g/cm3: 4.7
Energy above the lowest structure with this stoichiometry, eV per atom: 0.1673

Cell lengths 3.853, 3.853, 7.506 Å; angles 90.00, 90.00, 90.00 degrees
Atoms (fractional coordinates):
I (0.000, 0.000, 0.500)
Cr (0.500, 0.500, 0.500)
O (0.500, 0.000, 0.000)
O (0.000, 0.500, 0.000)
Rh (0.000, 0.000, 0.000)